Below is an optimized crystal structure of BaSr3V4O12, with properties calculated at the GGA+U level.

extended XYZ file:
```
20
Lattice="-3.1577 -3.6968 -5.8514 5.7063 -4.4593 2.3299 -5.1698 -0.3027 5.5729" Properties=species:S:1:pos:R:3 pbc="T T T"
O -5.6974 -2.5528 2.3338
V -2.2231 -2.6900 6.2072
O 2.3972 -5.9897 -1.6886
V -1.3106 -4.2294 1.0257
O -0.0361 -4.3390 2.2020
O 2.2647 -4.5370 4.3256
Sr 0.7731 -2.5740 3.8009
Sr -4.2571 -1.8422 0.3911
Ba 0.0000 0.0000 0.0000
V 3.6223 -6.1147 -0.4452
O -0.6141 -3.2415 5.7956
O -5.6770 -3.3352 -1.0595
O -0.4990 -5.5984 -3.5823
Sr 0.8629 -4.0427 -2.1405
O -1.0213 -4.7174 -0.6168
V -5.3308 -3.8836 -2.6849
O -3.5619 -2.5944 5.0842
O -3.7940 -4.5343 -3.2114
O 3.3864 -5.6813 1.2338
O -2.8743 -3.6318 1.4920
```

As for the total energy: -7.0577 eV/atom. The total magnetization is 4.0 Bohr magnetons per cell. For the volume, the calculation gives 383 Å³/f.u.